BaPm4Mn3O12 | PBE+U | relaxed

The volume comes out at 300.7 Å³/cell. The calculation puts the spin magnetization at 13.06 μB/cell. The space-group type is Im-3. Its final energy is -0.559 Ry/atom.

extended XYZ file:
```
20
Lattice="-4.220 4.220 4.220 4.220 -4.220 4.220 4.220 4.220 -4.220" Properties=species:S:1:pos:R:3 pbc="T T T"
Ba 0.000 0.000 0.000
Pm 2.110 2.110 -2.110
Pm 2.110 -2.110 2.110
Pm -2.110 2.110 2.110
Pm 2.110 2.110 2.110
Mn 4.220 0.000 0.000
Mn 0.000 4.220 0.000
Mn 0.000 0.000 4.220
O 2.772 1.296 0.000
O 5.669 1.296 0.000
O 4.220 -1.448 2.925
O 2.925 4.220 -1.448
O 1.296 0.000 2.772
O 0.000 2.772 1.296
O 4.220 1.448 2.925
O 2.925 4.220 1.448
O 1.296 0.000 5.669
O 0.000 5.669 1.296
O -1.448 2.925 4.220
O 1.448 2.925 4.220
```